[1]
The following is a PBE calculation of a relaxed Co2Si2S crystal, from Alexandria.

```
Co2Si2S
1.0
6.8242 0.0000 0.0000
0.0000 6.8242 0.0000
0.0000 0.0000 2.5897
Co S Si
4 2 4
Direct
0.3551 0.8551 0.0000 Co
0.6449 0.1449 0.0000 Co
0.8551 0.6449 0.0000 Co
0.1449 0.3551 0.0000 Co
0.5000 0.5000 0.0000 S
0.0000 0.0000 0.0000 S
0.8531 0.3531 0.5000 Si
0.6469 0.8531 0.5000 Si
0.1469 0.6469 0.5000 Si
0.3531 0.1469 0.5000 Si
```

Results
Energy above the most stable polymorph in this dataset = 0.00 eV/f.u.
Crystal system = tetragonal
Raw total energy = -5.982 eV/atom
Magnetic moment = 0.00 μB/f.u.
Fermi-level density of states = 0.3622 states/eV/atom
Energy relative to the elements, uncorrected = -0.145 eV per atom
Calculated volume = 60 Å³/f.u.

[2]
The following is a PBE calculation of a relaxed LaTb6Tm8 crystal, from Alexandria.

```
LaTb6Tm8
1.0
-4.7759 -3.6912 2.0989
-0.0163 -4.6498 -8.2145
5.4397 -2.9962 7.1085
Tb Tm La
6 8 1
Direct
0.5854 0.8953 0.5778 Tb
0.5854 0.6825 0.1047 Tb
0.4146 0.5778 0.6825 Tb
0.4146 0.1047 0.4222 Tb
0.4146 0.3175 0.8953 Tb
0.5854 0.4222 0.3175 Tb
0.0883 0.6612 0.9763 Tm
0.1506 0.6667 0.3333 Tm
0.9117 0.3388 0.0237 Tm
0.8494 0.3333 0.6667 Tm
0.9117 0.9763 0.3150 Tm
0.0883 0.0237 0.6850 Tm
0.0883 0.3150 0.3388 Tm
0.9117 0.6850 0.6612 Tm
0.5000 0.0000 0.0000 La
```

Results
Crystal system = trigonal
Raw total energy = -4.342 eV/atom
ΔE_f = 3.34 eV/f.u.
Magnetic moment = 0.00 μB/f.u.
Fermi-level density of states = 1.3780 states/eV/atom
Calculated volume = 493 Å³/f.u.

- What is the magnetic moment in the first record?
  0.00 μB/f.u.

- The highest raw total energy belongs to which entry?
  LaTb6Tm8

- Look up the Fermi-level density of states of the second one.
  1.3780 states/eV/atom

- Among the records above, which one has the lowest calculated volume?
  Co2Si2S